1.
Below is an optimized crystal structure of KAs8, with properties calculated at the GGA-PBE level. Values from VASP.

Output
* formation energy: 0.2614 eV/atom
* calculated volume: 24.47 Å³/atom
* total magnetization: 0.0 Bohr magnetons per cell
* space-group type: I4/mmm (139)
* electronic total energy: -3.993 eV/atom

Geometry as Quantum ESPRESSO input:
```
&SYSTEM
  ibrav = 0, nat = 9, ntyp = 2
/
ATOMIC_SPECIES
K 39.10 K.upf
As 74.92 As.upf
CELL_PARAMETERS angstrom
-4.691 4.691 2.502
4.691 -4.691 2.502
4.691 4.691 -2.502
ATOMIC_POSITIONS crystal
K 0.000 0.000 0.000
As 0.000 0.368 0.368
As 0.000 0.632 0.632
As 0.282 0.282 0.564
As 0.282 0.718 0.000
As 0.368 0.000 0.368
As 0.632 0.000 0.632
As 0.718 0.282 0.000
As 0.718 0.718 0.436
```

---

2.
Below is an optimized crystal structure of K3As, with properties calculated at the GGA-PBE level. Values from VASP.

Output
* formation energy: 0.0108 eV/atom
* calculated volume: 55.51 Å³/atom
* total magnetization: 1.1 Bohr magnetons per cell
* space-group type: P-6m2 (187)
* electronic total energy: -1.975 eV/atom

Geometry as Quantum ESPRESSO input:
```
&SYSTEM
  ibrav = 0, nat = 4, ntyp = 2
/
ATOMIC_SPECIES
K 39.10 K.upf
As 74.92 As.upf
CELL_PARAMETERS angstrom
4.848 0.000 0.000
-2.424 4.199 0.000
0.000 0.000 10.909
ATOMIC_POSITIONS crystal
K 0.000 0.000 0.000
K 0.667 0.333 0.337
K 0.667 0.333 0.663
As 0.000 0.000 0.500
```

---

3.
Below is an optimized crystal structure of KAs4, with properties calculated at the GGA-PBE level. Values from VASP.

Output
* formation energy: 0.9229 eV/atom
* calculated volume: 26.94 Å³/atom
* total magnetization: 0.0 Bohr magnetons per cell
* space-group type: Im-3m (229)
* electronic total energy: -3.016 eV/atom
* polymorph energy (0 for the lowest one): 903 meV/atom

Geometry as Quantum ESPRESSO input:
```
&SYSTEM
  ibrav = 0, nat = 5, ntyp = 2
/
ATOMIC_SPECIES
K 39.10 K.upf
As 74.92 As.upf
CELL_PARAMETERS angstrom
-3.229 3.229 3.229
3.229 -3.229 3.229
3.229 3.229 -3.229
ATOMIC_POSITIONS crystal
K 0.000 0.000 0.000
As 0.000 0.000 0.500
As 0.000 0.500 0.000
As 0.500 0.000 0.000
As 0.500 0.500 0.500
```

---

4.
Below is an optimized crystal structure of KAs4, with properties calculated at the GGA-PBE level. Values from VASP.

Output
* formation energy: 0.0200 eV/atom
* calculated volume: 28.78 Å³/atom
* total magnetization: 0.0 Bohr magnetons per cell
* space-group type: I4/m (87)
* electronic total energy: -3.919 eV/atom
* polymorph energy (0 for the lowest one): 0 meV/atom

Geometry as Quantum ESPRESSO input:
```
&SYSTEM
  ibrav = 0, nat = 5, ntyp = 2
/
ATOMIC_SPECIES
K 39.10 K.upf
As 74.92 As.upf
CELL_PARAMETERS angstrom
-3.946 3.946 2.310
3.946 -3.946 2.310
3.946 3.946 -2.310
ATOMIC_POSITIONS crystal
K 0.000 0.000 0.000
As 0.132 0.425 0.558
As 0.425 0.868 0.293
As 0.575 0.132 0.707
As 0.868 0.575 0.442
```

---

5.
Below is an optimized crystal structure of K3As, with properties calculated at the GGA-PBE level. Values from VASP.

Output
* formation energy: -0.3331 eV/atom
* calculated volume: 38.26 Å³/atom
* total magnetization: 0.0 Bohr magnetons per cell
* space-group type: P6_3/mmc (194)
* electronic total energy: -2.319 eV/atom

Geometry as Quantum ESPRESSO input:
```
&SYSTEM
  ibrav = 0, nat = 8, ntyp = 2
/
ATOMIC_SPECIES
K 39.10 K.upf
As 74.92 As.upf
CELL_PARAMETERS angstrom
5.841 0.000 0.000
-2.921 5.059 0.000
0.000 0.000 10.359
ATOMIC_POSITIONS crystal
K 0.000 0.000 0.250
K 0.000 0.000 0.750
K 0.333 0.667 0.079
K 0.333 0.667 0.421
K 0.667 0.333 0.579
K 0.667 0.333 0.921
As 0.333 0.667 0.750
As 0.667 0.333 0.250
```

---

6.
Below is an optimized crystal structure of K2As3, with properties calculated at the GGA-PBE level. Values from VASP.

Output
* formation energy: -0.2682 eV/atom
* calculated volume: 29.27 Å³/atom
* total magnetization: 0.0 Bohr magnetons per cell
* space-group type: Fdd2 (43)
* electronic total energy: -3.497 eV/atom

Geometry as Quantum ESPRESSO input:
```
&SYSTEM
  ibrav = 0, nat = 10, ntyp = 2
/
ATOMIC_SPECIES
K 39.10 K.upf
As 74.92 As.upf
CELL_PARAMETERS angstrom
0.000 7.954 3.204
5.742 0.000 3.204
5.742 7.954 0.000
ATOMIC_POSITIONS crystal
K 0.228 0.772 0.381
K 0.631 0.869 0.478
K 0.772 0.228 0.619
K 0.869 0.631 0.022
As 0.192 0.823 0.043
As 0.207 0.308 0.058
As 0.240 0.240 0.760
As 0.308 0.207 0.427
As 0.490 0.490 0.010
As 0.823 0.192 0.942
```

---

- The lowest electronic total energy belongs to which entry?
  KAs8